1.
A geometry-optimized PPtCl2 structure. Source: the Alexandria database, functional PBE.

Computed properties:
relative energy among the computed polymorphs: 2.06 eV per formula unit
uncorrected formation energy: -0.06 eV per atom

Lattice parameters (Å, degrees): 8.0401 8.0401 3.4562 102.25 102.25 24.82
Closest atoms and distances in Å follow each position.
Atoms (fractional coordinates):
P (0.0000, 0.0000, 0.0000)  2 Cl 2.23, 4 Pt 2.44
Pt (0.5000, 0.5000, 0.5000)  4 P 2.44
Cl (0.1454, 0.1454, 0.1412)  1 P 2.23
Cl (0.8546, 0.8546, 0.8588)  1 P 2.23


2.
A geometry-optimized Ho2Mg2In structure. Source: the Alexandria database, functional PBE.

Computed properties:
calculated total energy: -3.207 eV/atom

Lattice parameters (Å, degrees): 6.4186 6.4186 6.4186 47.54 47.54 47.54
Closest atoms and distances in Å follow each position.
Atoms (fractional coordinates):
Ho (0.1034, 0.1034, 0.1034)  3 In 3.18, 3 Mg 3.32, 1 Ho 3.52
Ho (0.8966, 0.8966, 0.8966)  3 In 3.18, 3 Mg 3.32, 1 Ho 3.52
Mg (0.3144, 0.3144, 0.3144)  3 Mg 3.06, 1 In 3.16, 3 Ho 3.32
Mg (0.6856, 0.6856, 0.6856)  3 Mg 3.06, 1 In 3.16, 3 Ho 3.32
In (0.5000, 0.5000, 0.5000)  2 Mg 3.16, 6 Ho 3.18


3.
A geometry-optimized InIr2W structure. Source: the Alexandria database, functional PBE.

Computed properties:
calculated total energy: -8.418 eV/atom

Lattice parameters (Å, degrees): 2.8760 3.8364 5.8989 90.00 90.00 90.00
Closest atoms and distances in Å follow each position.
Atoms (fractional coordinates):
In (0.0000, 0.0000, 0.0000)  2 In 2.88, 8 Ir 2.88, 2 W 2.95
Ir (0.5000, 0.5000, 0.2700)  3 Ir 2.71-2.88, 4 W 2.75, 4 In 2.88
Ir (0.5000, 0.5000, 0.7300)  3 Ir 2.71-2.88, 4 W 2.75, 4 In 2.88
W (0.0000, 0.0000, 0.5000)  8 Ir 2.75, 2 W 2.88, 2 In 2.95


4.
A geometry-optimized La6Tl3Ag structure. Source: the Alexandria database, functional PBE.

Computed properties:
relative energy among the computed polymorphs: 1.27 eV per formula unit

Lattice parameters (Å, degrees): 7.3222 9.1266 12.6029 90.00 124.09 90.00
Closest atoms and distances in Å follow each position.
Atoms (fractional coordinates):
La (0.0420, 0.0891, 0.2445)  1 Ag 3.03, 3 Tl 3.19-3.39
La (0.0420, 0.4109, 0.7445)  1 Ag 3.03, 3 Tl 3.19-3.39
La (0.1948, 0.6862, 0.0657)  1 Ag 3.10, 3 Tl 3.26-3.45
La (0.1948, 0.8138, 0.5657)  1 Ag 3.10, 3 Tl 3.26-3.45
La (0.4188, 0.1647, 0.0558)  1 Ag 3.12, 3 Tl 3.27-3.41
La (0.4188, 0.3353, 0.5558)  1 Ag 3.12, 3 Tl 3.27-3.41
La (0.5812, 0.6647, 0.4442)  1 Ag 3.12, 3 Tl 3.27-3.41
La (0.5812, 0.8353, 0.9442)  1 Ag 3.12, 3 Tl 3.27-3.41
La (0.8052, 0.1862, 0.4343)  1 Ag 3.10, 3 Tl 3.26-3.45
La (0.8052, 0.3138, 0.9343)  1 Ag 3.10, 3 Tl 3.26-3.45
La (0.9580, 0.5891, 0.2555)  1 Ag 3.03, 3 Tl 3.19-3.39
La (0.9580, 0.9109, 0.7555)  1 Ag 3.03, 3 Tl 3.19-3.39
Tl (0.3224, 0.1217, 0.7396)  8 La 3.36-3.66
Tl (0.3224, 0.3783, 0.2396)  8 La 3.36-3.66
Tl (0.5000, 0.0000, 0.5000)  6 La 3.19-3.27
Tl (0.5000, 0.5000, 0.0000)  6 La 3.19-3.27
Tl (0.6776, 0.6217, 0.7604)  8 La 3.36-3.66
Tl (0.6776, 0.8783, 0.2604)  8 La 3.36-3.66
Ag (0.0000, 0.0000, 0.0000)  6 La 3.03-3.12
Ag (0.0000, 0.5000, 0.5000)  6 La 3.03-3.12


5.
A geometry-optimized KScFe2Ir structure. Source: the Alexandria database, functional PBE.

Computed properties:
calculated total energy: -5.730 eV/atom

Lattice parameters (Å, degrees): 4.6708 4.6708 4.9808 90.00 90.00 90.00
Closest atoms and distances in Å follow each position.
Atoms (fractional coordinates):
K (0.0000, 0.0000, 0.0000)  4 Sc 3.30, 8 Fe 3.41
Sc (0.5000, 0.5000, 0.0000)  2 Ir 2.49
Fe (0.0000, 0.5000, 0.5000)  2 Ir 2.34
Fe (0.5000, 0.0000, 0.5000)  2 Ir 2.34
Ir (0.5000, 0.5000, 0.5000)  4 Fe 2.34, 2 Sc 2.49


6.
A geometry-optimized PuGeRuRh structure. Source: the Alexandria database, functional PBE.

Computed properties:
calculated total energy: -9.252 eV/atom

Lattice parameters (Å, degrees): 4.5739 4.5739 4.5739 60.00 60.00 60.00
Closest atoms and distances in Å follow each position.
Atoms (fractional coordinates):
Pu (0.0000, 0.0000, 0.0000)  4 Ru 2.80, 4 Rh 2.80
Ge (0.5000, 0.5000, 0.5000)  4 Ru 2.80, 4 Rh 2.80
Ru (0.7500, 0.7500, 0.7500)  4 Ge 2.80, 4 Pu 2.80
Rh (0.2500, 0.2500, 0.2500)  4 Ge 2.80, 4 Pu 2.80


7.
A geometry-optimized K2TaRe structure. Source: the Alexandria database, functional PBE.

Computed properties:
relative energy among the computed polymorphs: 2.79 eV per formula unit

Lattice parameters (Å, degrees): 6.7557 6.7557 6.7557 146.71 146.71 47.79
Closest atoms and distances in Å follow each position.
Atoms (fractional coordinates):
K (0.2500, 0.7500, 0.5000)  4 K 2.74
K (0.7500, 0.2500, 0.5000)  4 K 2.74
Ta (0.0000, 0.0000, 0.0000)  4 Re 2.74
Re (0.5000, 0.5000, 0.0000)  4 Ta 2.74


8.
A geometry-optimized MnRh2I structure. Source: the Alexandria database, functional PBE.

Computed properties:
relative energy among the computed polymorphs: 1.46 eV per formula unit
uncorrected formation energy: 0.78 eV per atom

Lattice parameters (Å, degrees): 6.4720 6.4720 6.4720 124.91 124.91 81.69
Closest atoms and distances in Å follow each position.
Atoms (fractional coordinates):
Mn (0.0000, 0.0000, 0.0000)  4 Rh 2.26
Mn (0.7500, 0.2500, 0.5000)  4 Rh 2.26
Rh (0.0693, 0.6250, 0.9443)  2 Mn 2.26
Rh (0.3750, 0.3193, 0.4443)  2 Mn 2.26
Rh (0.6807, 0.1250, 0.0557)  2 Mn 2.26
Rh (0.8750, 0.9307, 0.5557)  2 Mn 2.26
I (0.2500, 0.7500, 0.5000)  4 Rh 2.66
I (0.5000, 0.5000, 0.0000)  4 Rh 2.66


Number 1: magnetization 0.6 Bohr magnetons per cell, D(E_F) 2.54 states/eV/f.u.. Number 2: magnetization 0.0 Bohr magnetons per cell, D(E_F) 5.96 states/eV/f.u.. Number 3: magnetization 0.0 Bohr magnetons per cell, D(E_F) 1.69 states/eV/f.u.. Number 4: magnetization 0.0 Bohr magnetons per cell, D(E_F) 13.48 states/eV/f.u.. Number 5: magnetization 0.2 Bohr magnetons per cell, D(E_F) 6.45 states/eV/f.u.. Number 6: magnetization 4.8 Bohr magnetons per cell, D(E_F) 5.38 states/eV/f.u.. Number 7: magnetization 0.4 Bohr magnetons per cell, D(E_F) 3.49 states/eV/f.u.. Number 8: magnetization 0.0 Bohr magnetons per cell, D(E_F) 2.95 states/eV/f.u..